A geometry-optimized K2MgWO6 structure, computed with PBE+U.

## Properties
- Energy: -5.90 eV per atom
- Magnetic moment: 2.03 μB per cell
- DOS at the Fermi energy: 0.462 states/eV/atom

Cell: 5.771 5.771 5.771 Å, 60.00 60.00 60.00°
Each line ends with the local moment (μB).
Atoms (fractional coordinates):
W1 0.000 0.000 0.000  -0.18
O1 0.761 0.239 0.239  0.31
O2 0.239 0.239 0.761  0.31
O3 0.239 0.761 0.239  0.31
O4 0.761 0.761 0.239  0.31
K1 0.750 0.750 0.750  0.00
O5 0.239 0.761 0.761  0.31
K2 0.250 0.250 0.250  0.00
Mg1 0.500 0.500 0.500  -0.01
O6 0.761 0.239 0.761  0.31